Ac2Al3Ag: optimized geometry, GGA-PBE.

The structure in POSCAR format:
```
Ac2Al3Ag
1.0
-2.6523 1.8793 -2.6626
-3.4205 -0.2192 3.2525
2.2897 7.3444 2.9030
Ac Al Ag
2 3 1
Direct
0.0000 0.5000 0.9999
0.0000 0.0000 0.5001
0.5000 0.0000 0.8350
0.5000 0.0000 0.1645
0.5000 0.5000 0.6676
0.5000 0.5000 0.3330
```

Results
- Excess energy over the best structure of this formula in the dataset: 9 meV/atom
- Space-group type: Pmm2

=====

CdTeS2N: optimized geometry, GGA-PBE.

The structure in POSCAR format:
```
CdTeS2N
1.0
5.1513 0.0000 0.0000
0.0000 5.1513 0.0000
0.0000 0.0000 3.9157
N S Te Cd
1 2 1 1
Direct
0.0000 0.0000 0.5000
0.0000 0.5000 0.0000
0.5000 0.0000 0.0000
0.0000 0.0000 0.0000
0.5000 0.5000 0.5000
```

Results
- Excess energy over the best structure of this formula in the dataset: 0 meV/atom
- Space-group type: P4/mmm
- Raw formation energy: 758 meV per atom